Below is a relaxed structure of NpNiF6, with properties calculated at the GGA+U level.

Output
M_tot	5.00	μB/f.u.
total DFT energy (no corrections)	-6.25	eV per atom
crystal system	monoclinic

Unit cell a=5.3912 b=8.4442 c=5.2597 alpha=90.00 beta=102.29 gamma=90.00
Space group C2/m (No. 12)
Asymmetric unit:
Np (0.0000, 0.0000, 0.0000) x2
Ni (0.0000, 0.5000, 0.5000) x2
F (0.2180, 0.3452, 0.7549) x8
F (0.2370, 0.0000, 0.7170) x4